Entry 1
Material: As2AuCl
Method: DFT, PBE
State: relaxed

Values from the calculation:
Fermi-level density of states   1.3 states/eV/f.u.

```
As2AuCl
1.0
3.874 0.000 0.000
0.000 4.359 0.000
-0.104 0.000 5.740
As Au Cl
2 1 1
direct
0.232 0.000 0.157 As
0.768 0.000 0.843 As
0.500 0.500 0.000 Au
0.000 0.500 0.500 Cl
```


Entry 2
Material: As2AuCl
Method: DFT, PBE
State: relaxed

Values from the calculation:
Fermi-level density of states   1.0 states/eV/f.u.

```
As2AuCl
1.0
-1.800 2.067 6.237
1.800 -2.067 6.237
1.800 2.067 -6.237
As Au Cl
2 1 1
direct
0.000 0.000 0.000 As
0.850 0.350 0.500 As
0.359 0.859 0.500 Au
0.612 0.612 0.000 Cl
```


It is entry 1 that is the most stable of them.